1.
DFT (PBE-GGA) results for a geometry-optimized Os2RhF structure.

Spin magnetization: 0.00 μB per formula unit
Space-group type: No. 122
Formation energy (no corrections): 0.820 eV per atom
Volume: 111 Å³/cell
Polymorph energy (0 for the lowest one): 227.8 meV per atom

Unit cell a=6.5692 b=6.5692 c=5.3066 alpha=51.76 beta=51.76 gamma=90.00
Last column: nearest neighbours and their distance in Å.
Positions (direct):
Os  0.8750  0.8292  0.7500  2 F 2.22
Os  0.5792  0.1250  0.2500  2 F 2.22
Os  0.1708  0.6250  0.2500  2 F 2.22
Os  0.3750  0.4208  0.7500  2 F 2.22
F  0.2500  0.7500  0.5000  4 Os 2.22
F  0.5000  0.5000  0.0000  4 Os 2.22
Rh  0.0000  0.0000  0.0000  2 F 2.57, 8 Os 2.62-2.86
Rh  0.7500  0.2500  0.5000  2 F 2.57, 8 Os 2.62-2.86

2.
DFT (PBE-GGA) results for a geometry-optimized Cd2TcOs structure.

Spin magnetization: 0.71 μB per formula unit
Space-group type: No. 123
Volume: 69 Å³/cell
Polymorph energy (0 for the lowest one): 556.4 meV per atom

Unit cell a=3.8984 b=3.8984 c=4.5121 alpha=90.00 beta=90.00 gamma=90.00
Last column: nearest neighbours and their distance in Å.
Positions (direct):
Tc  0.0000  0.5000  0.5000  4 Os 2.76, 8 Cd 2.98
Cd  0.0000  0.0000  0.0000  4 Cd 2.76, 4 Os 2.98, 4 Tc 2.98
Cd  0.5000  0.5000  0.0000  4 Cd 2.76, 4 Tc 2.98, 4 Os 2.98
Os  0.5000  0.0000  0.5000  4 Tc 2.76, 8 Cd 2.98

3.
DFT (PBE-GGA) results for a geometry-optimized TbY4Cd5 structure.

Spin magnetization: 0.00 μB per formula unit
Space-group type: No. 123
Energy: -3.853 eV/atom
Volume: 264 Å³/cell

Unit cell a=3.7498 b=3.7498 c=18.7922 alpha=90.00 beta=90.00 gamma=90.00
Last column: nearest neighbours and their distance in Å.
Positions (direct):
Cd  0.5000  0.5000  0.6998  8 Y 3.25
Cd  0.5000  0.5000  0.5000  8 Y 3.25
Cd  0.5000  0.5000  0.3002  8 Y 3.25
Cd  0.5000  0.5000  0.8996  4 Y 3.25, 4 Tb 3.25
Cd  0.5000  0.5000  0.1004  4 Y 3.25, 4 Tb 3.25
Tb  0.0000  0.0000  0.0000  8 Cd 3.25
Y  0.0000  0.0000  0.5999  8 Cd 3.25
Y  0.0000  0.0000  0.2001  8 Cd 3.25
Y  0.0000  0.0000  0.7999  8 Cd 3.25
Y  0.0000  0.0000  0.4001  8 Cd 3.25

4.
DFT (PBE-GGA) results for a geometry-optimized Cd2NiHgH structure.

Spin magnetization: 0.00 μB per formula unit
Space-group type: No. 123
Energy: -2.057 eV/atom
Volume: 91 Å³/cell

Unit cell a=5.3184 b=5.3184 c=3.2342 alpha=90.00 beta=90.00 gamma=90.00
Last column: nearest neighbours and their distance in Å.
Positions (direct):
H  0.0000  0.0000  0.5000  2 Ni 1.62
Ni  0.0000  0.0000  0.0000  2 H 1.62
Hg  0.5000  0.5000  0.5000  8 Cd 3.11, 2 Hg 3.23
Cd  0.5000  0.0000  0.0000  2 Ni 2.66
Cd  0.0000  0.5000  0.0000  2 Ni 2.66

5.
DFT (PBE-GGA) results for a geometry-optimized AcPrInSb structure.

Spin magnetization: 0.00 μB per formula unit
Space-group type: No. 216
Formation energy (no corrections): -0.578 eV per atom
Volume: 129 Å³/cell

Unit cell a=5.6753 b=5.6753 c=5.6753 alpha=60.00 beta=60.00 gamma=60.00
Last column: nearest neighbours and their distance in Å.
Positions (direct):
Ac  0.2500  0.2500  0.2500  4 In 3.48, 4 Sb 3.48
Sb  0.0000  0.0000  0.0000  4 Pr 3.48, 4 Ac 3.48
In  0.5000  0.5000  0.5000  4 Ac 3.48, 4 Pr 3.48
Pr  0.7500  0.7500  0.7500  4 In 3.48, 4 Sb 3.48

6.
DFT (PBE-GGA) results for a geometry-optimized MgO structure.

Spin magnetization: 0.00 μB per formula unit
Space-group type: No. 225
Formation energy (no corrections): -2.708 eV per atom
Volume: 19 Å³/cell

Unit cell a=3.0096 b=3.0096 c=3.0096 alpha=60.00 beta=60.00 gamma=60.00
Last column: nearest neighbours and their distance in Å.
Positions (direct):
O  0.5000  0.5000  0.5000  6 Mg 2.13
Mg  0.0000  0.0000  0.0000  6 O 2.13

7.
DFT (PBE-GGA) results for a geometry-optimized In2NiSn structure.

Spin magnetization: 0.00 μB per formula unit
Space-group type: No. 122
Energy: -3.595 eV/atom
Volume: 189 Å³/cell

Unit cell a=4.5666 b=4.5666 c=9.6132 alpha=76.26 beta=76.26 gamma=90.00
Last column: nearest neighbours and their distance in Å.
Positions (direct):
In  0.8750  0.8194  0.7500  2 Ni 2.69, 2 In 2.89, 2 Sn 2.89
In  0.5694  0.1250  0.2500  2 Ni 2.69, 2 In 2.89, 2 Sn 2.89
In  0.1806  0.6250  0.2500  2 Ni 2.69, 2 In 2.89, 2 Sn 2.89
In  0.3750  0.4306  0.7500  2 Ni 2.69, 2 In 2.89, 2 Sn 2.89
Sn  0.7500  0.2500  0.5000  4 In 2.89, 4 Ni 3.23
Sn  0.0000  0.0000  0.0000  4 In 2.89, 4 Ni 3.23
Ni  0.5000  0.5000  0.0000  4 In 2.69
Ni  0.2500  0.7500  0.5000  4 In 2.69

8.
DFT (PBE-GGA) results for a geometry-optimized La2Zr structure.

Spin magnetization: 0.01 μB per formula unit
Space-group type: No. 194
Volume: 191 Å³/cell
Polymorph energy (0 for the lowest one): 104.3 meV per atom

Unit cell a=5.5468 b=5.5468 c=7.1669 alpha=90.00 beta=90.00 gamma=120.00
Last column: nearest neighbours and their distance in Å.
Positions (direct):
La  0.6667  0.3333  0.7500  5 Zr 3.20-3.58
La  0.0000  0.0000  0.0000  8 La 3.58-3.67, 6 Zr 3.67
La  0.0000  0.0000  0.5000  8 La 3.58-3.67, 6 Zr 3.67
La  0.3333  0.6667  0.2500  5 Zr 3.20-3.58
Zr  0.6667  0.3333  0.2500  5 La 3.20-3.58
Zr  0.3333  0.6667  0.7500  5 La 3.20-3.58

- Which formula does entry 1 have?
  Os2RhF